This record from Alexandria via LeMat-Bulk describes Pb2W after structural relaxation. The functional is PBE.

```
Pb2W
1.0
-1.532 1.532 17.150
1.532 -1.532 17.150
1.532 1.532 -17.150
Pb W
4 2
direct
0.566 0.566 0.000 Pb
0.184 0.684 0.500 Pb
0.434 0.434 0.000 Pb
0.316 0.816 0.500 Pb
0.000 0.000 0.000 W
0.750 0.250 0.500 W
```

crystal system: tetragonal
energy: -5.977 eV per atom
space group: I4_1/amd
offset from the most stable computed form: 0.231 eV/atom
N(E_F): 3.87 states/eV per cell